(1)
Below is an optimized crystal structure of Al4Rh5, with properties calculated at the PBE-GGA level.

magnetic moment: 0.00 μB/cell

Cell and atoms, written as CIF:
```
data_Al4Rh5
_chemical_formula_sum 'Al4 Rh5'
_cell_length_a 6.0635
_cell_length_b 6.0635
_cell_length_c 6.0635
_cell_angle_alpha 96.35
_cell_angle_beta 96.35
_cell_angle_gamma 141.16
_symmetry_space_group_name_H-M 'P 1'
_symmetry_Int_Tables_number 1
_symmetry_space_group_name_Hall 'P 1'
loop_
_atom_site_label
_atom_site_fract_x
_atom_site_fract_y
_atom_site_fract_z
Rh1 0.6695 0.6695 0.3390
Rh2 0.3305 0.6695 0.0000
Rh3 0.6695 0.3305 0.0000
Rh4 0.0000 0.0000 0.0000
Rh5 0.3305 0.3305 0.6610
Al1 0.6982 0.0000 0.6982
Al2 0.0000 0.6982 0.6982
Al3 0.0000 0.3018 0.3018
Al4 0.3018 0.0000 0.3018
```

(2)
Below is an optimized crystal structure of Al4Rh5, with properties calculated at the PBE-GGA level.

magnetic moment: 0.00 μB/cell

Cell and atoms, written as CIF:
```
data_Al4Rh5
_chemical_formula_sum 'Al4 Rh5'
_cell_length_a 4.6871
_cell_length_b 4.7334
_cell_length_c 6.0783
_cell_angle_alpha 74.77
_cell_angle_beta 83.34
_cell_angle_gamma 79.69
_symmetry_space_group_name_H-M 'P 1'
_symmetry_Int_Tables_number 1
_symmetry_space_group_name_Hall 'P 1'
loop_
_atom_site_label
_atom_site_fract_x
_atom_site_fract_y
_atom_site_fract_z
Rh1 0.9556 0.4267 0.2238
Rh2 0.6717 0.3307 0.6648
Rh3 0.1008 0.5716 0.7580
Rh4 0.7421 0.9041 0.4200
Rh5 0.5213 0.7827 0.9264
Al1 0.2211 0.1014 0.5708
Al2 0.3516 0.6499 0.3489
Al3 0.9849 0.9887 0.0043
Al4 0.4510 0.2443 0.0830
```

Most stable = (2)

(1)
Below is an optimized crystal structure of Al5Rh2, with properties calculated at the PBE-GGA level.

magnetic moment: 0.00 μB/cell

Cell and atoms, written as CIF:
```
data_Al5Rh2
_chemical_formula_sum 'Al20 Rh8'
_cell_length_a 7.8866
_cell_length_b 7.9505
_cell_length_c 7.9505
_cell_angle_alpha 120.00
_cell_angle_beta 90.00
_cell_angle_gamma 90.00
_symmetry_space_group_name_H-M 'P 1'
_symmetry_Int_Tables_number 1
_symmetry_space_group_name_Hall 'P 1'
loop_
_atom_site_label
_atom_site_fract_x
_atom_site_fract_y
_atom_site_fract_z
Al1 0.0587 0.1926 0.3852
Al2 0.4413 0.1926 0.8074
Al3 0.7500 0.0577 0.5288
Al4 0.2500 0.5288 0.4712
Al5 0.0000 0.0000 0.0000
Al6 0.9413 0.8074 0.1926
Al7 0.5000 0.0000 0.0000
Al8 0.9413 0.3852 0.1926
Al9 0.5587 0.3852 0.1926
Al10 0.4413 0.1926 0.3852
Al11 0.0587 0.6148 0.8074
Al12 0.5587 0.8074 0.6148
Al13 0.9413 0.8074 0.6148
Al14 0.2500 0.9423 0.4712
Al15 0.4413 0.6148 0.8074
Al16 0.7500 0.4712 0.5288
Al17 0.2500 0.5288 0.0577
Al18 0.5587 0.8074 0.1926
Al19 0.7500 0.4712 0.9423
Al20 0.0587 0.1926 0.8074
Rh1 0.7500 0.1299 0.8701
Rh2 0.2500 0.8701 0.1299
Rh3 0.2500 0.3333 0.6667
Rh4 0.7500 0.6667 0.3333
Rh5 0.7500 0.7402 0.8701
Rh6 0.7500 0.1299 0.2598
Rh7 0.2500 0.2598 0.1299
Rh8 0.2500 0.8701 0.7402
```

(2)
Below is an optimized crystal structure of Al5Rh2, with properties calculated at the PBE-GGA level.

magnetic moment: 0.00 μB/cell

Cell and atoms, written as CIF:
```
data_Al5Rh2
_chemical_formula_sum 'Al5 Rh2'
_cell_length_a 4.7145
_cell_length_b 4.7145
_cell_length_c 6.3582
_cell_angle_alpha 78.52
_cell_angle_beta 78.52
_cell_angle_gamma 48.03
_symmetry_space_group_name_H-M 'P 1'
_symmetry_Int_Tables_number 1
_symmetry_space_group_name_Hall 'P 1'
loop_
_atom_site_label
_atom_site_fract_x
_atom_site_fract_y
_atom_site_fract_z
Al1 0.5834 0.5834 0.2581
Al2 0.4166 0.4166 0.7419
Al3 0.0000 0.0000 0.0000
Al4 0.1404 0.1404 0.5701
Al5 0.8596 0.8596 0.4299
Rh1 0.2939 0.2939 0.1714
Rh2 0.7061 0.7061 0.8286
```

Most stable = (1)